1.
Density functional theory data (PBEsol) for crystalline Ta2MoAsS at its relaxed geometry.

Cell lengths 4.4700, 4.4700, 4.6583 Å; angles 90.00, 90.00, 90.00 degrees
Last column: nearest neighbours and their distance in Å.
Positions (direct):
S 0.0000 0.0000 0.0000  4 Ta 2.23, 2 As 2.33
Mo 0.5000 0.5000 0.5000  4 As 3.16, 8 Ta 3.23
As 0.0000 0.0000 0.5000  2 S 2.33
Ta 0.0000 0.5000 0.0000  2 S 2.23
Ta 0.5000 0.0000 0.0000  2 S 2.23

Results
Raw formation energy in eV per atom: 0.923

---

2.
Density functional theory data (PBEsol) for crystalline Mg5Tl2 at its relaxed geometry.

Cell lengths 6.1601, 7.3662, 8.5331 Å; angles 115.57, 111.16, 90.00 degrees
Last column: nearest neighbours and their distance in Å.
Positions (direct):
Mg 0.2500 0.5000 0.0000  4 Tl 3.04, 8 Mg 3.08-3.27
Mg 0.7500 0.5000 0.0000  4 Tl 3.04, 8 Mg 3.08-3.27
Mg 0.4820 0.7320 0.4640  4 Tl 2.95-3.08, 5 Mg 3.08-3.27
Mg 0.0180 0.2680 0.5360  4 Tl 2.95-3.08, 5 Mg 3.08-3.27
Mg 0.5180 0.2680 0.5360  4 Tl 2.95-3.08, 5 Mg 3.08-3.27
Mg 0.9820 0.7320 0.4640  4 Tl 2.95-3.08, 5 Mg 3.08-3.27
Mg 0.9132 0.7516 0.8264  4 Tl 2.94-3.16, 4 Mg 3.18-3.21
Mg 0.0868 0.2484 0.1736  4 Tl 2.94-3.16, 4 Mg 3.18-3.21
Mg 0.5868 0.9252 0.1736  4 Tl 2.94-3.16, 4 Mg 3.18-3.21
Mg 0.4132 0.0748 0.8264  4 Tl 2.94-3.16, 4 Mg 3.18-3.21
Tl 0.8776 0.1090 0.7552  10 Mg 2.94-3.16
Tl 0.1224 0.8910 0.2448  10 Mg 2.94-3.16
Tl 0.6224 0.3538 0.2448  10 Mg 2.94-3.16
Tl 0.3776 0.6462 0.7552  10 Mg 2.94-3.16

Results
ΔH_f (0 K) in eV per atom: -0.075

---

| no. | electronic total energy (eV/atom) |
| --- | --- |
| 1 | -8.349 |
| 2 | -2.053 |